Computed, not measured: a relaxed structure of SrTcMo2 at the PBE-GGA level of DFT.

## Properties
Volume = 88.2 Å³/f.u.
E_form = 66.15 kJ per mole of atoms

a = 9.7988 Å, b = 3.2497 Å, c = 5.7420 Å
α = 90.00°, β = 105.22°, γ = 90.00°
Closest atoms and distances in Å follow each position.
Space group C2/m (No. 12)
Asymmetric unit:
Sr: 0.0000 0.0000 0.0000 [2 per cell]  2 Sr 3.25, 6 Mo 3.30-3.48, 4 Tc 3.30
Tc: 0.0000 0.5000 0.5000 [2 per cell]  4 Mo 2.56
Mo: 0.2083 0.0000 0.6323 [4 per cell]  2 Mo 2.50, 2 Tc 2.56